Zn4HgRh after structural relaxation, computed with PBE.

Results
The energy relative to the elements is -0.01 eV per atom. For the density of states at the Fermi level, the calculation gives 15.09 states/eV per cell. For the spin magnetization, the calculation gives 0.00 μB/cell.

Lattice parameters (Å, degrees): 7.1571 7.1571 7.1571 90.00 90.00 90.00
Closest atoms and distances in Å follow each position.
Space group F-43m (No. 216)
Inequivalent atoms, fractional coordinates:
Zn 0.1243 0.1243 0.3757  6 Zn 2.52-2.55
Hg 0.0000 0.0000 0.0000  12 Zn 2.97, 4 Rh 3.10
Rh 0.2500 0.2500 0.7500  12 Zn 2.97, 4 Hg 3.10